LiOs3: optimized geometry, PBE-GGA.

```
data_LiOs3
_cell_length_a 8.915
_cell_length_b 2.684
_cell_length_c 4.681
_cell_angle_alpha 90.00
_cell_angle_beta 97.67
_cell_angle_gamma 90.00
_space_group_name_H-M_alt 'C 1 2/m 1'
_space_group_IT_number 12
loop_
_space_group_symop_operation_xyz
'x,y,z'
'-x,-y,-z'
'-x,y,-z'
'x,-y,z'
'x+1/2,y+1/2,z'
'-x+1/2,-y+1/2,-z'
'-x+1/2,y+1/2,-z'
'x+1/2,-y+1/2,z'
loop_
_atom_site_label
_atom_site_fract_x
_atom_site_fract_y
_atom_site_fract_z
Li1 0.000 0.000 0.000
Os1 0.000 0.500 0.500
Os2 0.239 0.000 0.754
```

Summary:
formation energy from the elements: 0.272 eV per atom

Li3Os: optimized geometry, PBE-GGA.

```
data_Li3Os
_cell_length_a 2.506
_cell_length_b 4.664
_cell_length_c 9.225
_cell_angle_alpha 90.00
_cell_angle_beta 90.00
_cell_angle_gamma 90.00
_space_group_name_H-M_alt 'I m m m'
_space_group_IT_number 71
_space_group_name_Hall '-I 2 2'
loop_
_atom_site_label
_atom_site_fract_x
_atom_site_fract_y
_atom_site_fract_z
Li1 0.000 0.000 0.000
Li2 0.000 0.500 0.258
Os1 0.000 0.000 0.500
```

Summary:
formation energy from the elements: 0.207 eV per atom

LiOs3: optimized geometry, PBE-GGA.

```
data_LiOs3
_cell_length_a 2.718
_cell_length_b 3.893
_cell_length_c 5.160
_cell_angle_alpha 90.00
_cell_angle_beta 90.00
_cell_angle_gamma 90.00
_space_group_name_H-M_alt 'P m m m'
_space_group_IT_number 47
loop_
_space_group_symop_operation_xyz
'x,y,z'
'-x,-y,-z'
'-x,-y,z'
'x,y,-z'
'x,-y,-z'
'-x,y,z'
'-x,y,-z'
'x,-y,z'
loop_
_atom_site_label
_atom_site_fract_x
_atom_site_fract_y
_atom_site_fract_z
Li1 0.000 0.000 0.000
Os1 0.000 0.000 0.500
Os2 0.500 0.500 0.237
```

Summary:
formation energy from the elements: 0.269 eV per atom

Number 1: total DFT energy (no corrections) -8.629 eV/atom. Number 2: total DFT energy (no corrections) -4.036 eV/atom. Number 3: total DFT energy (no corrections) -8.631 eV/atom.